! KBaBr2 | the Alexandria database | GGA-PBE | relaxed; values from VASP
&SYSTEM
  ibrav = 0, nat = 12, ntyp = 3
/
ATOMIC_SPECIES
K 39.10 K.upf
Ba 137.33 Ba.upf
Br 79.90 Br.upf
CELL_PARAMETERS angstrom
4.533 0.000 0.000
-2.266 3.925 0.000
0.000 0.000 26.099
ATOMIC_POSITIONS crystal
K 0.000 0.000 0.000
K 0.333 0.667 0.667
K 0.667 0.333 0.333
Ba 0.000 0.000 0.169
Ba 0.333 0.667 0.836
Ba 0.667 0.333 0.503
Br 0.000 0.000 0.414
Br 0.000 0.000 0.590
Br 0.333 0.667 0.081
Br 0.333 0.667 0.257
Br 0.667 0.333 0.748
Br 0.667 0.333 0.923
! - Volume: 464 Å³/cell
! - Crystal system: trigonal
! - Raw formation energy: -1624 meV/atom
! - Electronic total energy: -3.216 eV/atom

***

! KBa2Br | the Alexandria database | GGA-PBE | relaxed; values from VASP
&SYSTEM
  ibrav = 0, nat = 12, ntyp = 3
/
ATOMIC_SPECIES
K 39.10 K.upf
Ba 137.33 Ba.upf
Br 79.90 Br.upf
CELL_PARAMETERS angstrom
4.480 0.000 0.000
-2.240 3.880 0.000
0.000 0.000 37.328
ATOMIC_POSITIONS crystal
K 0.000 0.000 0.000
K 0.333 0.667 0.667
K 0.667 0.333 0.333
Ba 0.000 0.000 0.229
Ba 0.000 0.000 0.771
Ba 0.333 0.667 0.437
Ba 0.333 0.667 0.896
Ba 0.667 0.333 0.104
Ba 0.667 0.333 0.563
Br 0.000 0.000 0.500
Br 0.333 0.667 0.167
Br 0.667 0.333 0.833
! - Volume: 649 Å³/cell
! - Crystal system: trigonal
! - Raw formation energy: -706 meV/atom
! - Electronic total energy: -2.360 eV/atom

***

! K2BaBr | the Alexandria database | GGA-PBE | relaxed; values from VASP
&SYSTEM
  ibrav = 0, nat = 12, ntyp = 3
/
ATOMIC_SPECIES
K 39.10 K.upf
Ba 137.33 Ba.upf
Br 79.90 Br.upf
CELL_PARAMETERS angstrom
4.557 0.000 0.000
-2.279 3.947 0.000
0.000 0.000 36.622
ATOMIC_POSITIONS crystal
K 0.000 0.000 0.000
K 0.000 0.000 0.227
K 0.333 0.667 0.667
K 0.333 0.667 0.893
K 0.667 0.333 0.333
K 0.667 0.333 0.560
Ba 0.000 0.000 0.456
Ba 0.333 0.667 0.122
Ba 0.667 0.333 0.789
Br 0.000 0.000 0.726
Br 0.333 0.667 0.392
Br 0.667 0.333 0.059
! - Volume: 659 Å³/cell
! - Crystal system: trigonal
! - Raw formation energy: -763 meV/atom
! - Electronic total energy: -2.211 eV/atom